1.
The following is a DFT calculation (GGA-PBE) of an optimized crystal structure of ThPaHgO6.

```
data_ThPaHgO6
_space_group_name_H-M_alt 'P 42 n m'
_space_group_IT_number 102
_cell_length_a 5.3248
_cell_length_b 5.3248
_cell_length_c 10.5822
_cell_angle_alpha 90.00
_cell_angle_beta 90.00
_cell_angle_gamma 90.00
loop_
_space_group_symop_operation_xyz
'x,y,z'
'-y+1/2,x+1/2,z+1/2'
'-x,-y,z'
'y+1/2,-x+1/2,z+1/2'
'-x+1/2,y+1/2,z+1/2'
'y,x,z'
'x+1/2,-y+1/2,z+1/2'
'-y,-x,z'
loop_
_atom_site_label
_atom_site_type_symbol
_atom_site_fract_x
_atom_site_fract_y
_atom_site_fract_z
Th1 Th 0.0000 0.0000 0.0000
Pa1 Pa 0.0000 0.0000 0.3370
Hg1 Hg 0.0000 0.0000 0.6701
O1 O 0.1764 0.1764 0.1794
O2 O 0.1891 0.1891 0.4944
O3 O 0.2033 0.2033 0.8371
```

Properties
Formation energy without anion corrections ... -58.653 kcal/mol of atoms
Crystal system ... tetragonal



2.
The following is a DFT calculation (GGA-PBE) of an optimized crystal structure of PaTiHgO6.

```
data_PaTiHgO6
_space_group_name_H-M_alt 'P 3 1 2'
_space_group_IT_number 149
_cell_length_a 5.3823
_cell_length_b 5.3823
_cell_length_c 4.8906
_cell_angle_alpha 90.00
_cell_angle_beta 90.00
_cell_angle_gamma 120.00
loop_
_space_group_symop_operation_xyz
'x,y,z'
'-y,x-y,z'
'-x+y,-x,z'
'-y,-x,-z'
'-x+y,y,-z'
'x,x-y,-z'
loop_
_atom_site_label
_atom_site_type_symbol
_atom_site_fract_x
_atom_site_fract_y
_atom_site_fract_z
Pa1 Pa 0.0000 0.0000 0.0000
Ti1 Ti 0.6667 0.3333 0.5000
Hg1 Hg 0.3333 0.6667 0.5000
O1 O 0.3527 0.0476 0.7374
```

Properties
Formation energy without anion corrections ... -52.216 kcal/mol of atoms
Crystal system ... trigonal



3.
The following is a DFT calculation (GGA-PBE) of an optimized crystal structure of PaTiHg2O6.

```
data_PaTiHg2O6
_space_group_name_H-M_alt 'R 3'
_space_group_IT_number 146
_space_group_name_Hall 'R 3'
_cell_length_a 5.7222
_cell_length_b 5.7222
_cell_length_c 14.6982
_cell_angle_alpha 90.00
_cell_angle_beta 90.00
_cell_angle_gamma 120.00
loop_
_atom_site_label
_atom_site_type_symbol
_atom_site_fract_x
_atom_site_fract_y
_atom_site_fract_z
Pa1 Pa 0.0000 0.0000 0.0000
Ti1 Ti 0.0000 0.0000 0.5037
Hg1 Hg 0.0000 0.0000 0.2518
Hg2 Hg 0.0000 0.0000 0.7570
O1 O 0.0132 0.4552 0.2423
O2 O 0.0770 0.7243 0.0838
```

Properties
Formation energy without anion corrections ... -48.108 kcal/mol of atoms
Crystal system ... trigonal



4.
The following is a DFT calculation (GGA-PBE) of an optimized crystal structure of PaTl2Hg2O6.

```
data_PaTl2Hg2O6
_space_group_name_H-M_alt 'C 1 2/m 1'
_space_group_IT_number 12
_cell_length_a 11.9355
_cell_length_b 6.0541
_cell_length_c 8.4294
_cell_angle_alpha 90.00
_cell_angle_beta 132.60
_cell_angle_gamma 90.00
loop_
_space_group_symop_operation_xyz
'x,y,z'
'-x,-y,-z'
'-x,y,-z'
'x,-y,z'
'x+1/2,y+1/2,z'
'-x+1/2,-y+1/2,-z'
'-x+1/2,y+1/2,-z'
'x+1/2,-y+1/2,z'
loop_
_atom_site_label
_atom_site_type_symbol
_atom_site_fract_x
_atom_site_fract_y
_atom_site_fract_z
Pa1 Pa 0.0000 0.0000 0.0000
Tl1 Tl 0.1213 0.5000 0.4500
Hg1 Hg 0.2457 0.5000 0.1677
O1 O 0.1309 0.0000 0.9212
O2 O 0.1563 0.2549 0.2583
```

Properties
Formation energy without anion corrections ... -31.266 kcal/mol of atoms
Crystal system ... monoclinic



5.
The following is a DFT calculation (GGA-PBE) of an optimized crystal structure of Pa2TlHgO8.

```
data_Pa2TlHgO8
_space_group_name_H-M_alt 'C 1 2/m 1'
_space_group_IT_number 12
_cell_length_a 7.1958
_cell_length_b 7.1392
_cell_length_c 7.2783
_cell_angle_alpha 90.00
_cell_angle_beta 93.60
_cell_angle_gamma 90.00
loop_
_space_group_symop_operation_xyz
'x,y,z'
'-x,-y,-z'
'-x,y,-z'
'x,-y,z'
'x+1/2,y+1/2,z'
'-x+1/2,-y+1/2,-z'
'-x+1/2,y+1/2,-z'
'x+1/2,-y+1/2,z'
loop_
_atom_site_label
_atom_site_type_symbol
_atom_site_fract_x
_atom_site_fract_y
_atom_site_fract_z
Pa1 Pa 0.0042 0.0000 0.2476
Tl1 Tl 0.0000 0.5000 0.0000
Hg1 Hg 0.0000 0.5000 0.5000
O1 O 0.0000 0.1801 0.0000
O2 O 0.0000 0.1842 0.5000
O3 O 0.1976 0.5000 0.7427
O4 O 0.2159 0.5000 0.2262
```

Properties
Formation energy without anion corrections ... -49.911 kcal/mol of atoms
Crystal system ... monoclinic



6.
The following is a DFT calculation (GGA-PBE) of an optimized crystal structure of PaTlHg2O8.

```
data_PaTlHg2O8
_space_group_name_H-M_alt 'I -4 m 2'
_space_group_IT_number 119
_space_group_name_Hall 'I -4 -2'
_cell_length_a 7.2144
_cell_length_b 7.2144
_cell_length_c 7.3230
_cell_angle_alpha 90.00
_cell_angle_beta 90.00
_cell_angle_gamma 90.00
loop_
_atom_site_label
_atom_site_type_symbol
_atom_site_fract_x
_atom_site_fract_y
_atom_site_fract_z
Pa1 Pa 0.0000 0.0000 0.0000
Tl1 Tl 0.0000 0.5000 0.7500
Hg1 Hg 0.0000 0.0000 0.5000
Hg2 Hg 0.0000 0.5000 0.2500
O1 O 0.0000 0.1717 0.7369
O2 O 0.0000 0.3121 0.0117
```

Properties
Formation energy without anion corrections ... -19.929 kcal/mol of atoms
Crystal system ... tetragonal



- Which value of formation energy without anion corrections does entry 6 give?
  -19.929 kcal/mol of atoms